No. 1
CsZrS2O8: relaxed, PBE.

Summary:
Formation energy (no corrections) (kJ/mol of formula units): -2143

Unit cell a=5.4059 b=5.4059 c=8.7752 alpha=90.00 beta=90.00 gamma=120.00
Space group P-3 (No. 147)
Symmetry-distinct sites (fractional):
1 Cs 0.0000 0.0000 0.0000 [1 per cell]
2 Zr 0.0000 0.0000 0.5000 [1 per cell]
3 S 0.3333 0.6667 0.7101 [2 per cell]
4 O 0.1712 0.3670 0.6515 [6 per cell]
5 O 0.3333 0.6667 0.8762 [2 per cell]

=====

No. 2
ThNiHgRh: relaxed, PBE.

Summary:
Formation energy from the elements (eV per atom): -0.365

Unit cell a=6.783 b=6.783 c=6.783 alpha=90.00 beta=90.00 gamma=90.00
Space group F-43m (No. 216)
Symmetry-distinct sites (fractional):
1 Th 0.000 0.000 0.000 [4 per cell]
2 Ni 0.250 0.250 0.750 [4 per cell]
3 Hg 0.000 0.000 0.500 [4 per cell]
4 Rh 0.250 0.250 0.250 [4 per cell]

=====

no.,calculated volume (Å³/cell)
1,222.09
2,312.14